No. 1
Compound: YNbPO2
Source: the Alexandria database
Functional: GGA-PBEsol
Structure: optimized geometry

Lattice parameters (Å, degrees): 3.9699 3.9699 5.0554 90.00 90.00 90.00
Sites, in units of the cell vectors:
Y1 0.5000 0.5000 0.5000
P1 0.0000 0.0000 0.5000
Nb1 0.0000 0.0000 0.0000
O1 0.0000 0.5000 0.0000
O2 0.5000 0.0000 0.0000

## Properties
- formation energy from raw total energies (kJ per mole of atoms) = -183.9
- size of the total moment (μB/f.u.) = 0.00
- E_tot (eV/f.u.) = -43.46
- symmetry = P4/mmm (123)



No. 2
Compound: Cd2HgBr
Source: the Alexandria database
Functional: GGA-PBEsol
Structure: optimized geometry

Lattice parameters (Å, degrees): 3.8453 5.2624 5.2624 106.11 100.58 100.58
Sites, in units of the cell vectors:
Hg1 0.5000 0.5000 0.5000
Br1 0.5000 0.0000 0.0000
Cd1 0.0000 0.0000 0.5000
Cd2 0.0000 0.5000 0.0000

## Properties
- formation energy from raw total energies (kJ per mole of atoms) = -8.5
- size of the total moment (μB/f.u.) = 0.00
- E_tot (eV/f.u.) = -5.18
- energy above the lowest structure with this stoichiometry (meV/atom) = 42
- symmetry = C2/m (12)



No. 3
Compound: Li4FeP2O8
Source: the Alexandria database
Functional: GGA-PBEsol
Structure: optimized geometry

Lattice parameters (Å, degrees): 4.8359 5.1433 6.1736 95.17 94.42 99.06
Site moments in Bohr magnetons follow the coordinates.
Sites, in units of the cell vectors:
Li1 0.1573 0.2938 0.5203  0.00
Li2 0.8427 0.7062 0.4797  0.00
Li3 0.3304 0.6123 0.2001  0.00
Li4 0.6696 0.3877 0.7999  0.00
Fe1 0.0000 0.0000 0.0000  3.56
P1 0.3690 0.8246 0.7308  0.00
P2 0.6310 0.1754 0.2692  0.00
O1 0.2197 0.6888 0.9149  0.05
O2 0.7803 0.3112 0.0851  0.05
O3 0.2471 0.6772 0.5071  0.01
O4 0.7529 0.3228 0.4929  0.01
O5 0.3100 0.1879 0.2400  0.05
O6 0.6900 0.8121 0.7600  0.05
O7 0.3031 0.1119 0.7510  0.04
O8 0.6969 0.8881 0.2490  0.04

## Properties
- formation energy from raw total energies (kJ per mole of atoms) = -206.7
- size of the total moment (μB/f.u.) = 4.00
- E_tot (eV/f.u.) = -102.55
- symmetry = P-1 (2)



No. 4
Compound: Li2GePdF
Source: the Alexandria database
Functional: GGA-PBEsol
Structure: optimized geometry

Lattice parameters (Å, degrees): 3.6098 3.6098 5.2838 90.00 90.00 90.00
Sites, in units of the cell vectors:
Ge1 0.0000 0.0000 0.5000
Li1 0.0000 0.5000 0.0000
Li2 0.5000 0.0000 0.0000
Pd1 0.5000 0.5000 0.5000
F1 0.0000 0.0000 0.0000

## Properties
- formation energy from raw total energies (kJ per mole of atoms) = -108.3
- size of the total moment (μB/f.u.) = 0.00
- E_tot (eV/f.u.) = -22.37
- symmetry = P4/mmm (123)



No. 5
Compound: LaCu2Ir
Source: the Alexandria database
Functional: GGA-PBEsol
Structure: optimized geometry

Lattice parameters (Å, degrees): 4.0277 4.0277 4.9843 113.83 113.83 90.00
Sites, in units of the cell vectors:
Cu1 0.7500 0.2500 0.5000
Cu2 0.2500 0.7500 0.5000
Ir1 0.5000 0.5000 0.0000
La1 0.0000 0.0000 0.0000

## Properties
- formation enthalpy at 0 K (eV/f.u.) = -0.51
- size of the total moment (μB/f.u.) = 0.00
- E_tot (eV/f.u.) = -24.35
- energy above the lowest structure with this stoichiometry (meV/atom) = 54
- symmetry = I4/mmm (139)



No. 6
Compound: LiAlSeBr2
Source: the Alexandria database
Functional: GGA-PBEsol
Structure: optimized geometry

Lattice parameters (Å, degrees): 4.8815 4.8158 4.8158 90.00 90.00 90.00
Sites, in units of the cell vectors:
Li1 0.0000 0.0000 0.0000
Se1 0.5000 0.0000 0.0000
Br1 0.0000 0.0000 0.5000
Br2 0.0000 0.5000 0.0000
Al1 0.5000 0.5000 0.5000

## Properties
- formation energy from raw total energies (kJ per mole of atoms) = -14.3
- size of the total moment (μB/f.u.) = 0.00
- E_tot (eV/f.u.) = -14.39
- symmetry = P4/mmm (123)